VASP calculation (PBE) on an optimized crystal structure of AlFeCo2W.

POSCAR file:
```
AlFeCo2W
1.0
4.259 0.000 0.000
0.000 4.259 0.000
0.000 0.000 4.396
Al Fe Co W
1 1 2 1
direct
0.000 0.000 0.000
0.500 0.500 0.500
0.000 0.500 0.500
0.500 0.000 0.500
0.500 0.500 0.000
```

## Properties
ρ ... 8.0 Mg/m³
DOS at the Fermi energy ... 5.833 states/eV/cell
ΔH_f (0 K) ... 1.082 eV/atom
Space group ... P4/mmm, No. 123